First-principles (PBE-GGA) data for a relaxed structure of RbMnReTc2, as listed in Alexandria.

Computed properties:
Total moment in μB/atom: 0.353
Space-group type: P4/mmm (123)
Formation energy from the elements in meV per atom: 2580

Unit cell a=4.731 b=4.731 c=5.710 alpha=90.00 beta=90.00 gamma=90.00
Fractional coordinates of all 5 atoms:
Rb  0.000  0.000  0.000
Mn  0.500  0.500  0.000
Re  0.000  0.000  0.500
Tc  0.000  0.500  0.500
Tc  0.500  0.000  0.500



First-principles (PBE-GGA) data for a relaxed structure of RbMn2Rh, as listed in Alexandria.

Computed properties:
Total moment in μB/atom: 0.000
Space-group type: Fm-3m (225)
Formation energy from the elements in meV per atom: 1799

Unit cell a=4.469 b=4.469 c=4.469 alpha=60.00 beta=60.00 gamma=60.00
Fractional coordinates of all 4 atoms:
Rb  0.000  0.000  0.000
Mn  0.250  0.250  0.250
Mn  0.750  0.750  0.750
Rh  0.500  0.500  0.500



First-principles (PBE-GGA) data for a relaxed structure of Rb2MnRh, as listed in Alexandria.

Computed properties:
Total moment in μB/atom: 1.424
Space-group type: Fm-3m (225)
Formation energy from the elements in meV per atom: 1249

Unit cell a=5.739 b=5.739 c=5.739 alpha=60.00 beta=60.00 gamma=60.00
Fractional coordinates of all 4 atoms:
Rb  0.250  0.250  0.250
Rb  0.750  0.750  0.750
Mn  0.000  0.000  0.000
Rh  0.500  0.500  0.500



First-principles (PBE-GGA) data for a relaxed structure of RbMn2Rh, as listed in Alexandria.

Computed properties:
Total moment in μB/atom: 2.276
Space-group type: I4_1/amd (141)
Formation energy from the elements in meV per atom: 891

Unit cell a=8.990 b=8.990 c=8.990 alpha=143.47 beta=143.47 gamma=52.62
Fractional coordinates of all 8 atoms:
Rb  0.375  0.625  0.750
Rb  0.625  0.375  0.250
Mn  0.000  0.000  0.000
Mn  0.000  0.000  0.500
Mn  0.000  0.500  0.000
Mn  0.500  0.000  0.500
Rh  0.125  0.875  0.250
Rh  0.875  0.125  0.750



First-principles (PBE-GGA) data for a relaxed structure of Rb2MnRh, as listed in Alexandria.

Computed properties:
Total moment in μB/atom: 1.219
Space-group type: I-42d (122)
Formation energy from the elements in meV per atom: 689

Unit cell a=9.287 b=9.287 c=9.287 alpha=93.84 beta=93.84 gamma=150.01
Fractional coordinates of all 8 atoms:
Rb  0.375  0.189  0.314
Rb  0.811  0.125  0.186
Rb  0.875  0.061  0.686
Rb  0.939  0.625  0.814
Mn  0.250  0.750  0.500
Mn  0.500  0.500  0.000
Rh  0.000  0.000  0.000
Rh  0.750  0.250  0.500



First-principles (PBE-GGA) data for a relaxed structure of Rb2MnRhS, as listed in Alexandria.

Computed properties:
Total moment in μB/atom: 0.917
Space-group type: P4/mmm (123)
Energy relative to the elements, uncorrected in eV/atom: 0.327

Unit cell a=6.669 b=6.669 c=4.319 alpha=90.00 beta=90.00 gamma=90.00
Fractional coordinates of all 5 atoms:
Rb  0.000  0.500  0.000
Rb  0.500  0.000  0.000
Mn  0.000  0.000  0.500
Rh  0.500  0.500  0.000
S  0.500  0.500  0.500



First-principles (PBE-GGA) data for a relaxed structure of RbMnTlRh2, as listed in Alexandria.

Computed properties:
Total moment in μB/atom: 1.115
Space-group type: P4/mmm (123)
Formation energy from the elements in meV per atom: 2016

Unit cell a=4.940 b=4.940 c=5.770 alpha=90.00 beta=90.00 gamma=90.00
Fractional coordinates of all 5 atoms:
Rb  0.000  0.000  0.000
Mn  0.500  0.500  0.500
Tl  0.000  0.000  0.500
Rh  0.000  0.500  0.000
Rh  0.500  0.000  0.000



First-principles (PBE-GGA) data for a relaxed structure of RbMnRh2W, as listed in Alexandria.

Computed properties:
Total moment in μB/atom: 0.222
Space-group type: P4/mmm (123)
Formation energy from the elements in meV per atom: 1313

Unit cell a=4.734 b=4.734 c=4.534 alpha=90.00 beta=90.00 gamma=90.00
Fractional coordinates of all 5 atoms:
Rb  0.000  0.000  0.000
Mn  0.500  0.500  0.500
Rh  0.000  0.500  0.500
Rh  0.500  0.000  0.500
W  0.500  0.500  0.000



First-principles (PBE-GGA) data for a relaxed structure of RbMnZn2Rh, as listed in Alexandria.

Computed properties:
Total moment in μB/atom: 0.895
Space-group type: P4/mmm (123)
Formation energy from the elements in meV per atom: 1227

Unit cell a=4.824 b=4.824 c=5.749 alpha=90.00 beta=90.00 gamma=90.00
Fractional coordinates of all 5 atoms:
Rb  0.000  0.000  0.000
Mn  0.000  0.000  0.500
Zn  0.000  0.500  0.500
Zn  0.500  0.000  0.500
Rh  0.500  0.500  0.000



First-principles (PBE-GGA) data for a relaxed structure of RbMn2Ru2, as listed in Alexandria.

Computed properties:
Total moment in μB/atom: 1.175
Space-group type: P4/mbm (127)
Formation energy from the elements in meV per atom: 755

Unit cell a=7.993 b=7.993 c=2.801 alpha=90.00 beta=90.00 gamma=90.00
Fractional coordinates of all 10 atoms:
Rb  0.000  0.000  0.000
Rb  0.500  0.500  0.000
Mn  0.144  0.356  0.500
Mn  0.356  0.856  0.500
Mn  0.644  0.144  0.500
Mn  0.856  0.644  0.500
Ru  0.130  0.630  0.000
Ru  0.370  0.130  0.000
Ru  0.630  0.870  0.000
Ru  0.870  0.370  0.000



First-principles (PBE-GGA) data for a relaxed structure of RbMnRu3, as listed in Alexandria.

Computed properties:
Total moment in μB/atom: 0.244
Space-group type: Pm-3m (221)
Formation energy from the elements in meV per atom: 3503

Unit cell a=4.628 b=4.628 c=4.628 alpha=90.00 beta=90.00 gamma=90.00
Fractional coordinates of all 5 atoms:
Rb  0.000  0.000  0.000
Mn  0.500  0.500  0.500
Ru  0.000  0.000  0.500
Ru  0.000  0.500  0.000
Ru  0.500  0.000  0.000



First-principles (PBE-GGA) data for a relaxed structure of RbMnRu2, as listed in Alexandria.

Computed properties:
Total moment in μB/atom: 0.000
Space-group type: I-42d (122)
Formation energy from the elements in meV per atom: 1416

Unit cell a=6.027 b=6.027 c=6.027 alpha=106.74 beta=106.74 gamma=115.08
Fractional coordinates of all 8 atoms:
Rb  0.000  0.000  0.000
Rb  0.750  0.250  0.500
Mn  0.250  0.750  0.500
Mn  0.500  0.500  0.000
Ru  0.221  0.625  0.096
Ru  0.375  0.471  0.596
Ru  0.529  0.125  0.904
Ru  0.875  0.779  0.404



First-principles (PBE-GGA) data for a relaxed structure of RbMnRu2, as listed in Alexandria.

Computed properties:
Total moment in μB/atom: 0.000
Space-group type: Fm-3m (225)
Formation energy from the elements in meV per atom: 1787

Unit cell a=4.523 b=4.523 c=4.523 alpha=60.00 beta=60.00 gamma=60.00
Fractional coordinates of all 4 atoms:
Rb  0.000  0.000  0.000
Mn  0.500  0.500  0.500
Ru  0.250  0.250  0.250
Ru  0.750  0.750  0.750



First-principles (PBE-GGA) data for a relaxed structure of RbMnRu3, as listed in Alexandria.

Computed properties:
Total moment in μB/atom: 0.000
Space-group type: Pm-3m (221)
Formation energy from the elements in meV per atom: 1447

Unit cell a=4.590 b=4.590 c=4.590 alpha=90.00 beta=90.00 gamma=90.00
Fractional coordinates of all 5 atoms:
Rb  0.000  0.000  0.000
Mn  0.500  0.500  0.500
Ru  0.000  0.500  0.500
Ru  0.500  0.000  0.500
Ru  0.500  0.500  0.000



First-principles (PBE-GGA) data for a relaxed structure of RbMnRu2S, as listed in Alexandria.

Computed properties:
Total moment in μB/atom: 0.974
Space-group type: P4/mmm (123)
Energy relative to the elements, uncorrected in eV/atom: 0.921

Unit cell a=4.413 b=4.413 c=5.586 alpha=90.00 beta=90.00 gamma=90.00
Fractional coordinates of all 5 atoms:
Rb  0.000  0.000  0.000
Mn  0.500  0.500  0.000
Ru  0.000  0.500  0.500
Ru  0.500  0.000  0.500
S  0.000  0.000  0.500



First-principles (PBE-GGA) data for a relaxed structure of RbYMn2Ru, as listed in Alexandria.

Computed properties:
Total moment in μB/atom: 1.574
Space-group type: P4/mmm (123)
Formation energy from the elements in meV per atom: 1193

Unit cell a=4.959 b=4.959 c=5.278 alpha=90.00 beta=90.00 gamma=90.00
Fractional coordinates of all 5 atoms:
Rb  0.000  0.000  0.000
Y  0.500  0.500  0.000
Mn  0.000  0.500  0.500
Mn  0.500  0.000  0.500
Ru  0.000  0.000  0.500



First-principles (PBE-GGA) data for a relaxed structure of RbMn2S4, as listed in Alexandria.

Computed properties:
Total moment in μB/atom: 1.002
Space-group type: P1 (1)
Energy relative to the elements, uncorrected in eV/atom: -0.616

Unit cell a=6.747 b=6.749 c=8.680 alpha=109.02 beta=108.59 gamma=99.82
Fractional coordinates of all 14 atoms:
Rb  0.000  0.000  0.000
Rb  0.261  0.763  0.500
Mn  0.004  0.199  0.576
Mn  0.560  0.439  0.801
Mn  0.620  0.429  0.423
Mn  0.636  0.760  0.198
S  0.290  0.211  0.819
S  0.324  0.288  0.501
S  0.390  0.473  0.180
S  0.466  0.744  0.918
S  0.762  0.148  0.292
S  0.785  0.825  0.498
S  0.824  0.549  0.081
S  0.854  0.472  0.707



First-principles (PBE-GGA) data for a relaxed structure of Rb3MnS3, as listed in Alexandria.

Computed properties:
Total moment in μB/atom: 0.571
Space-group type: P2_1/c (14)
Energy relative to the elements, uncorrected in eV/atom: -0.969

Unit cell a=9.177 b=7.904 c=12.731 alpha=90.00 beta=96.44 gamma=90.00
Fractional coordinates of all 28 atoms:
Rb  0.067  0.148  0.133
Rb  0.067  0.352  0.633
Rb  0.330  0.708  0.792
Rb  0.330  0.792  0.292
Rb  0.390  0.220  0.927
Rb  0.390  0.280  0.427
Rb  0.610  0.720  0.573
Rb  0.610  0.780  0.073
Rb  0.670  0.208  0.708
Rb  0.670  0.292  0.208
Rb  0.933  0.648  0.367
Rb  0.933  0.852  0.867
Mn  0.161  0.577  0.051
Mn  0.161  0.923  0.551
Mn  0.839  0.077  0.449
Mn  0.839  0.423  0.949
S  0.073  0.060  0.394
S  0.073  0.440  0.894
S  0.249  0.657  0.526
S  0.249  0.843  0.026
S  0.337  0.064  0.655
S  0.337  0.436  0.155
S  0.663  0.564  0.845
S  0.663  0.936  0.345
S  0.751  0.157  0.974
S  0.751  0.343  0.474
S  0.927  0.560  0.106
S  0.927  0.940  0.606



First-principles (PBE-GGA) data for a relaxed structure of Rb4MnS4, as listed in Alexandria.

Computed properties:
Total moment in μB/atom: 0.333
Space-group type: P4_2/nmc (137)
Energy relative to the elements, uncorrected in eV/atom: -0.960

Unit cell a=9.271 b=9.271 c=6.921 alpha=90.00 beta=90.00 gamma=90.00
Fractional coordinates of all 18 atoms:
Rb  0.025  0.250  0.095
Rb  0.250  0.025  0.595
Rb  0.250  0.475  0.595
Rb  0.475  0.250  0.095
Rb  0.525  0.750  0.905
Rb  0.750  0.525  0.405
Rb  0.750  0.975  0.405
Rb  0.975  0.750  0.905
Mn  0.250  0.750  0.250
Mn  0.750  0.250  0.750
S  0.047  0.750  0.417
S  0.250  0.547  0.083
S  0.250  0.953  0.083
S  0.453  0.750  0.417
S  0.547  0.250  0.583
S  0.750  0.047  0.917
S  0.750  0.453  0.917
S  0.953  0.250  0.583



First-principles (PBE-GGA) data for a relaxed structure of Rb5Mn2S6, as listed in Alexandria.

Computed properties:
Total moment in μB/atom: 0.543
Space-group type: C2/c (15)
Energy relative to the elements, uncorrected in eV/atom: -0.940

Unit cell a=7.648 b=7.648 c=17.022 alpha=99.78 beta=99.78 gamma=65.88
Fractional coordinates of all 26 atoms:
Rb  0.136  0.864  0.750
Rb  0.189  0.716  0.002
Rb  0.247  0.438  0.277
Rb  0.284  0.811  0.498
Rb  0.438  0.247  0.777
Rb  0.562  0.753  0.223
Rb  0.716  0.189  0.502
Rb  0.753  0.562  0.723
Rb  0.811  0.284  0.998
Rb  0.864  0.136  0.250
Mn  0.136  0.407  0.572
Mn  0.407  0.136  0.072
Mn  0.593  0.864  0.928
Mn  0.864  0.593  0.428
S  0.102  0.197  0.637
S  0.128  0.313  0.438
S  0.197  0.102  0.137
S  0.313  0.128  0.938
S  0.385  0.479  0.624
S  0.479  0.385  0.124
S  0.521  0.615  0.876
S  0.615  0.521  0.376
S  0.687  0.872  0.062
S  0.803  0.898  0.863
S  0.872  0.687  0.562
S  0.898  0.803  0.363



| no. | E_tot (Ry/atom) |
| --- | --- |
| 1 | -0.4471 |
| 2 | -0.3576 |
| 3 | -0.2473 |
| 4 | -0.4244 |
| 5 | -0.2885 |
| 6 | -0.3079 |
| 7 | -0.2518 |
| 8 | -0.4590 |
| 9 | -0.2043 |
| 10 | -0.5010 |
| 11 | -0.3006 |
| 12 | -0.4231 |
| 13 | -0.3958 |
| 14 | -0.4517 |
| 15 | -0.4147 |
| 16 | -0.4275 |
| 17 | -0.4214 |
| 18 | -0.3280 |
| 19 | -0.3119 |
| 20 | -0.3401 |